1) Crystalline BeZnI2N at its relaxed geometry. Source: the Alexandria database, functional GGA-PBE.

Cell lengths 5.736, 5.736, 3.812 Å; angles 90.00, 90.00, 90.00 degrees
Positions (direct):
Be 0.000 0.000 0.000
Zn 0.500 0.500 0.500
I 0.000 0.500 0.500
I 0.500 0.000 0.500
N 0.500 0.500 0.000

Values from the calculation:
The value obtained for the total magnetization is 1.8 μB per formula unit. The space group is No. 123. For the density of states at the Fermi level, the calculation gives 1.920 states/eV/f.u.


2) Crystalline BeZnI2N at its relaxed geometry. Source: the Alexandria database, functional GGA-PBE.

Cell lengths 7.011, 7.011, 2.985 Å; angles 90.00, 90.00, 90.00 degrees
Positions (direct):
Be 0.000 0.000 0.000
Zn 0.500 0.500 0.500
I 0.000 0.500 0.000
I 0.500 0.000 0.000
N 0.000 0.000 0.500

Values from the calculation:
The value obtained for the total magnetization is 0.0 μB per formula unit. The space group is No. 123. For the density of states at the Fermi level, the calculation gives 4.378 states/eV/f.u.


2) is the most stable structure; the next one sits 619 meV per atom above it.


1) Crystalline Na2BeI at its relaxed geometry. Source: the Alexandria database, functional GGA-PBE.

Cell lengths 10.177, 10.177, 10.177 Å; angles 148.60, 148.60, 45.00 degrees
Positions (direct):
Na 0.092 0.625 0.967
Na 0.375 0.342 0.467
Na 0.658 0.125 0.033
Na 0.875 0.908 0.533
Be 0.000 0.000 0.000
Be 0.750 0.250 0.500
I 0.250 0.750 0.500
I 0.500 0.500 0.000

Values from the calculation:
The value obtained for the total magnetization is 0.0 μB per formula unit. The space group is No. 122. For the density of states at the Fermi level, the calculation gives 0.361 states/eV/f.u.


2) Crystalline Na2BeI at its relaxed geometry. Source: the Alexandria database, functional GGA-PBE.

Cell lengths 5.477, 5.477, 5.477 Å; angles 60.00, 60.00, 60.00 degrees
Positions (direct):
Na 0.250 0.250 0.250
Na 0.750 0.750 0.750
Be 0.000 0.000 0.000
I 0.500 0.500 0.500

Values from the calculation:
The value obtained for the total magnetization is 0.0 μB per formula unit. The space group is No. 225. For the density of states at the Fermi level, the calculation gives 1.813 states/eV/f.u.


2) is the most stable structure; the next one sits 40 meV per atom above it.


1) Crystalline NaBeSbI2 at its relaxed geometry. Source: the Alexandria database, functional GGA-PBE.

Cell lengths 5.797, 5.797, 6.088 Å; angles 90.00, 90.00, 90.00 degrees
Positions (direct):
Na 0.000 0.000 0.000
Be 0.500 0.500 0.500
Sb 0.000 0.000 0.500
I 0.000 0.500 0.000
I 0.500 0.000 0.000

Values from the calculation:
The value obtained for the total magnetization is 2.1 μB per formula unit. The space group is No. 123. For the density of states at the Fermi level, the calculation gives 4.621 states/eV/f.u.


2) Crystalline NaBeSbI2 at its relaxed geometry. Source: the Alexandria database, functional GGA-PBE.

Cell lengths 5.836, 5.836, 4.665 Å; angles 90.00, 90.00, 90.00 degrees
Positions (direct):
Na 0.000 0.000 0.000
Be 0.500 0.500 0.500
Sb 0.500 0.500 0.000
I 0.000 0.500 0.500
I 0.500 0.000 0.500

Values from the calculation:
The value obtained for the total magnetization is 0.0 μB per formula unit. The space group is No. 123. For the density of states at the Fermi level, the calculation gives 2.561 states/eV/f.u.


2) is the most stable structure; the next one sits 868 meV per atom above it.